Entry from Alexandria: crystalline HfSbIrBr2 at its relaxed geometry (PBE-GGA).

Computed properties:
uncorrected formation energy = 0.343 eV per atom
D(E_F) = 3.66 states/eV per cell
V = 135.51 Å³/cell

Unit cell a=5.102 b=5.102 c=5.207 alpha=90.00 beta=90.00 gamma=90.00
Space group P4/mmm (No. 123)
Asymmetric unit:
Hf  0.000  0.000  0.000 (multiplicity 1)
Sb  0.500  0.500  0.500 (multiplicity 1)
Ir  0.000  0.000  0.500 (multiplicity 1)
Br  0.000  0.500  0.000 (multiplicity 2)

Entry from Alexandria: crystalline Li2HgAsH at its relaxed geometry (PBE-GGA).

Computed properties:
E = -2.666 eV per atom
D(E_F) = 1.69 states/eV per cell
V = 72.95 Å³/cell

Unit cell a=4.143 b=4.143 c=4.250 alpha=90.00 beta=90.00 gamma=90.00
Space group P4/mmm (No. 123)
Asymmetric unit:
Li  0.000  0.500  0.000 (multiplicity 2)
Hg  0.000  0.000  0.500 (multiplicity 1)
As  0.500  0.500  0.500 (multiplicity 1)
H  0.000  0.000  0.000 (multiplicity 1)

Entry from Alexandria: crystalline Li2Hf2Rh3 at its relaxed geometry (PBE-GGA).

Computed properties:
D(E_F) = 3.37 states/eV per cell
V = 121.65 Å³/cell
DFT formation energy = -0.543 eV/atom

Unit cell a=4.510 b=4.515 c=7.318 alpha=72.74 beta=89.89 gamma=60.27
Space group P-1 (No. 2)
Asymmetric unit:
Li  0.128  0.242  0.399 (multiplicity 2)
Hf  0.382  0.734  0.156 (multiplicity 2)
Rh  0.000  0.500  0.000 (multiplicity 1)
Rh  0.262  0.976  0.774 (multiplicity 2)

Entry from Alexandria: crystalline Rb3PmBi2Se6 at its relaxed geometry (PBE-GGA).

Computed properties:
uncorrected formation energy = -1.105 eV per atom
D(E_F) = 0.00 states/eV per cell
V = 791.65 Å³/cell

Unit cell a=7.550 b=13.075 c=8.405 alpha=90.00 beta=107.41 gamma=90.00
Space group C2/m (No. 12)
Asymmetric unit:
Rb  0.000  0.000  0.000 (multiplicity 2)
Rb  0.000  0.332  0.000 (multiplicity 4)
Pm  0.000  0.500  0.500 (multiplicity 2)
Bi  0.000  0.166  0.500 (multiplicity 4)
Se  0.233  0.334  0.701 (multiplicity 8)
Se  0.235  0.000  0.702 (multiplicity 4)

Entry from Alexandria: crystalline Na2Al3AgGe4 at its relaxed geometry (PBE-GGA).

Computed properties:
D(E_F) = 3.03 states/eV per cell
V = 210.43 Å³/cell
DFT formation energy = -0.057 eV/atom

Unit cell a=4.393 b=4.393 c=10.902 alpha=90.00 beta=90.00 gamma=90.00
Space group P-4m2 (No. 115)
Asymmetric unit:
Na  0.000  0.500  0.240 (multiplicity 2)
Al  0.000  0.000  0.000 (multiplicity 1)
Al  0.000  0.500  0.632 (multiplicity 2)
Ag  0.500  0.500  0.000 (multiplicity 1)
Ge  0.000  0.000  0.500 (multiplicity 1)
Ge  0.000  0.500  0.862 (multiplicity 2)
Ge  0.500  0.500  0.500 (multiplicity 1)

Entry from Alexandria: crystalline CeAl7Ag5 at its relaxed geometry (PBE-GGA).

Computed properties:
D(E_F) = 19.42 states/eV per cell
V = 472.45 Å³/cell
DFT formation energy = -0.171 eV/atom

Unit cell a=5.546 b=9.348 c=9.113 alpha=90.00 beta=90.00 gamma=90.00
Space group Imm2 (No. 44)
Asymmetric unit:
Ce  0.000  0.000  0.000 (multiplicity 2)
Al  0.000  0.000  0.354 (multiplicity 2)
Al  0.000  0.000  0.647 (multiplicity 2)
Al  0.000  0.288  0.493 (multiplicity 4)
Al  0.000  0.352  0.002 (multiplicity 4)
Al  0.000  0.500  0.719 (multiplicity 2)
Ag  0.000  0.500  0.281 (multiplicity 2)
Ag  0.249  0.259  0.746 (multiplicity 8)

Entry from Alexandria: crystalline TiTcC2 at its relaxed geometry (PBE-GGA).

Computed properties:
D(E_F) = 11.60 states/eV per cell
V = 203.63 Å³/cell
DFT formation energy = 0.201 eV/atom

Unit cell a=4.626 b=4.626 c=9.514 alpha=90.00 beta=90.00 gamma=90.00
Space group I-42d (No. 122)
Asymmetric unit:
Ti  0.000  0.000  0.000 (multiplicity 4)
Tc  0.000  0.000  0.500 (multiplicity 4)
C  0.231  0.250  0.625 (multiplicity 8)

Entry from Alexandria: crystalline Ce4SnGe at its relaxed geometry (PBE-GGA).

Computed properties:
D(E_F) = 36.68 states/eV per cell
V = 367.11 Å³/cell
DFT formation energy = -0.278 eV/atom

Unit cell a=8.857 b=4.740 c=8.898 alpha=90.00 beta=100.67 gamma=90.00
Space group C2/m (No. 12)
Asymmetric unit:
Ce  0.145  0.000  0.335 (multiplicity 4)
Ce  0.151  0.500  0.869 (multiplicity 4)
Sn  0.000  0.500  0.500 (multiplicity 2)
Ge  0.000  0.000  0.000 (multiplicity 2)

- What is the V in the fourth record?
  791.65 Å³/cell

- Among the records above, which one has the highest V?
  Rb3PmBi2Se6

What did the eighth record say?
Entry from Alexandria: crystalline Ce4SnGe at its relaxed geometry (PBE-GGA).

Computed properties:
D(E_F) = 36.68 states/eV per cell
V = 367.11 Å³/cell
DFT formation energy = -0.278 eV/atom

Unit cell a=8.857 b=4.740 c=8.898 alpha=90.00 beta=100.67 gamma=90.00
Space group C2/m (No. 12)
Asymmetric unit:
Ce  0.145  0.000  0.335 (multiplicity 4)
Ce  0.151  0.500  0.869 (multiplicity 4)
Sn  0.000  0.500  0.500 (multiplicity 2)
Ge  0.000  0.000  0.000 (multiplicity 2)